A relaxed structure of CeNd2Ho3As6. Source: Alexandria, functional PBE-GGA.

The structure in CIF format:
```
data_CeNd2Ho3As6
_chemical_formula_sum 'Ce1 Nd2 Ho3 As6'
_space_group_name_H-M_alt 'P 1'
_space_group_IT_number 1
_space_group_name_Hall 'P 1'
_cell_length_a 9.3272
_cell_length_b 9.3272
_cell_length_c 8.3527
_cell_angle_alpha 102.81
_cell_angle_beta 102.81
_cell_angle_gamma 25.91
loop_
_atom_site_label
_atom_site_type_symbol
_atom_site_fract_x
_atom_site_fract_y
_atom_site_fract_z
Ce1 Ce 0.0000 0.0000 0.0000
Nd1 Nd 0.3329 0.3329 0.6651
Nd2 Nd 0.6671 0.6671 0.3349
Ho1 Ho 0.0000 0.0000 0.5000
Ho2 Ho 0.3324 0.3324 0.1668
Ho3 Ho 0.6676 0.6676 0.8332
As1 As 0.1642 0.1642 0.5897
As2 As 0.1670 0.1670 0.0764
As3 As 0.4975 0.4975 0.2513
As4 As 0.5025 0.5025 0.7487
As5 As 0.8330 0.8330 0.9236
As6 As 0.8358 0.8358 0.4103
```

Properties
Theoretical density   7.4 g cm⁻³
Formation energy   -1.505 eV/atom
Crystal system   monoclinic
SG   No. 12
N(E_F)   0.508 states/eV per atom

=====

A relaxed structure of Na5ZnIn2. Source: Alexandria, functional PBE-GGA.

The structure in CIF format:
```
data_Na5ZnIn2
_chemical_formula_sum 'Na10 Zn2 In4'
_space_group_name_H-M_alt 'P 1'
_space_group_IT_number 1
_space_group_name_Hall 'P 1'
_cell_length_a 6.8759
_cell_length_b 13.5642
_cell_length_c 4.6390
_cell_angle_alpha 90.00
_cell_angle_beta 90.00
_cell_angle_gamma 90.00
loop_
_atom_site_label
_atom_site_type_symbol
_atom_site_fract_x
_atom_site_fract_y
_atom_site_fract_z
Na1 Na 0.0000 0.0000 0.0000
Na2 Na 0.0558 0.2574 0.0000
Na3 Na 0.2059 0.8706 0.5000
Na4 Na 0.2941 0.3706 0.5000
Na5 Na 0.4442 0.7574 0.0000
Na6 Na 0.5000 0.5000 0.0000
Na7 Na 0.5558 0.2426 0.0000
Na8 Na 0.7059 0.6294 0.5000
Na9 Na 0.7941 0.1294 0.5000
Na10 Na 0.9442 0.7426 0.0000
Zn1 Zn 0.0000 0.5000 0.0000
Zn2 Zn 0.5000 0.0000 0.0000
In1 In 0.1838 0.6034 0.5000
In2 In 0.3162 0.1034 0.5000
In3 In 0.6838 0.8966 0.5000
In4 In 0.8162 0.3966 0.5000
```

Properties
Theoretical density   3.1 g cm⁻³
Formation energy   -0.020 eV/atom
Energy relative to the lowest polymorph listed for this composition   0.3 kJ per mole of atoms
Crystal system   orthorhombic
SG   No. 55
N(E_F)   0.297 states/eV per atom

=====

A relaxed structure of Gd2ZrNi. Source: Alexandria, functional PBE-GGA.

The structure in CIF format:
```
data_Gd2ZrNi
_chemical_formula_sum 'Gd6 Zr3 Ni3'
_space_group_name_H-M_alt 'P 1'
_space_group_IT_number 1
_space_group_name_Hall 'P 1'
_cell_length_a 3.3857
_cell_length_b 3.3857
_cell_length_c 30.5615
_cell_angle_alpha 90.00
_cell_angle_beta 90.00
_cell_angle_gamma 120.00
loop_
_atom_site_label
_atom_site_type_symbol
_atom_site_fract_x
_atom_site_fract_y
_atom_site_fract_z
Gd1 Gd 0.0000 0.0000 0.1044
Gd2 Gd 0.0000 0.0000 0.8956
Gd3 Gd 0.3333 0.6667 0.5623
Gd4 Gd 0.3333 0.6667 0.7711
Gd5 Gd 0.6667 0.3333 0.2289
Gd6 Gd 0.6667 0.3333 0.4377
Zr1 Zr 0.0000 0.0000 0.0000
Zr2 Zr 0.3333 0.6667 0.6667
Zr3 Zr 0.6667 0.3333 0.3333
Ni1 Ni 0.0000 0.0000 0.5000
Ni2 Ni 0.3333 0.6667 0.1667
Ni3 Ni 0.6667 0.3333 0.8333
```

Properties
Theoretical density   7.6 g cm⁻³
Formation energy   0.267 eV/atom
Energy relative to the lowest polymorph listed for this composition   34.0 kJ per mole of atoms
Crystal system   trigonal
SG   No. 166
N(E_F)   0.923 states/eV per atom

=====

A relaxed structure of SrV2As2. Source: Alexandria, functional PBE-GGA.

The structure in CIF format:
```
data_SrV2As2
_chemical_formula_sum 'Sr2 V4 As4'
_space_group_name_H-M_alt 'P 1'
_space_group_IT_number 1
_space_group_name_Hall 'P 1'
_cell_length_a 4.8286
_cell_length_b 4.8286
_cell_length_c 8.4281
_cell_angle_alpha 90.00
_cell_angle_beta 90.00
_cell_angle_gamma 90.00
loop_
_atom_site_label
_atom_site_type_symbol
_atom_site_fract_x
_atom_site_fract_y
_atom_site_fract_z
Sr1 Sr 0.0000 0.0000 0.0000
Sr2 Sr 0.5000 0.5000 0.5000
V1 V 0.0000 0.0000 0.3800
V2 V 0.0000 0.0000 0.6200
V3 V 0.5000 0.5000 0.1200
V4 V 0.5000 0.5000 0.8800
As1 As 0.0000 0.5000 0.2500
As2 As 0.0000 0.5000 0.7500
As3 As 0.5000 0.0000 0.2500
As4 As 0.5000 0.0000 0.7500
```

Properties
Theoretical density   5.7 g cm⁻³
Formation energy   -0.325 eV/atom
Energy relative to the lowest polymorph listed for this composition   34.4 kJ per mole of atoms
Crystal system   tetragonal
SG   No. 139
N(E_F)   0.534 states/eV per atom

=====

A relaxed structure of FeRh4Au. Source: Alexandria, functional PBE-GGA.

The structure in CIF format:
```
data_FeRh4Au
_chemical_formula_sum 'Fe1 Rh4 Au1'
_space_group_name_H-M_alt 'P 1'
_space_group_IT_number 1
_space_group_name_Hall 'P 1'
_cell_length_a 5.1136
_cell_length_b 5.1136
_cell_length_c 5.1136
_cell_angle_alpha 60.00
_cell_angle_beta 60.00
_cell_angle_gamma 60.00
loop_
_atom_site_label
_atom_site_type_symbol
_atom_site_fract_x
_atom_site_fract_y
_atom_site_fract_z
Fe1 Fe 0.0000 0.0000 0.0000
Rh1 Rh 0.1247 0.6251 0.6251
Rh2 Rh 0.6251 0.1247 0.6251
Rh3 Rh 0.6251 0.6251 0.1247
Rh4 Rh 0.6251 0.6251 0.6251
Au1 Au 0.2500 0.2500 0.2500
```

Properties
Theoretical density   11.7 g cm⁻³
Formation energy   0.366 eV/atom
Crystal system   cubic
SG   No. 216
N(E_F)   1.593 states/eV per atom

=====

A relaxed structure of TiCo. Source: Alexandria, functional PBE-GGA.

The structure in CIF format:
```
data_TiCo
_chemical_formula_sum 'Ti1 Co1'
_space_group_name_H-M_alt 'P 1'
_space_group_IT_number 1
_space_group_name_Hall 'P 1'
_cell_length_a 2.9687
_cell_length_b 2.9687
_cell_length_c 2.9687
_cell_angle_alpha 90.00
_cell_angle_beta 90.00
_cell_angle_gamma 90.00
loop_
_atom_site_label
_atom_site_type_symbol
_atom_site_fract_x
_atom_site_fract_y
_atom_site_fract_z
Ti1 Ti 0.0000 0.0000 0.0000
Co1 Co 0.5000 0.5000 0.5000
```

Properties
Theoretical density   6.8 g cm⁻³
Formation energy   -0.384 eV/atom
Crystal system   cubic
SG   No. 221
N(E_F)   1.120 states/eV per atom

=====

A relaxed structure of Ac2BiRu. Source: Alexandria, functional PBE-GGA.

The structure in CIF format:
```
data_Ac2BiRu
_chemical_formula_sum 'Ac6 Bi3 Ru3'
_space_group_name_H-M_alt 'P 1'
_space_group_IT_number 1
_space_group_name_Hall 'P 1'
_cell_length_a 4.3528
_cell_length_b 4.3528
_cell_length_c 24.8066
_cell_angle_alpha 90.00
_cell_angle_beta 90.00
_cell_angle_gamma 120.00
loop_
_atom_site_label
_atom_site_type_symbol
_atom_site_fract_x
_atom_site_fract_y
_atom_site_fract_z
Ac1 Ac 0.0000 0.0000 0.2322
Ac2 Ac 0.0000 0.0000 0.7678
Ac3 Ac 0.3333 0.6667 0.4344
Ac4 Ac 0.3333 0.6667 0.8989
Ac5 Ac 0.6667 0.3333 0.1011
Ac6 Ac 0.6667 0.3333 0.5656
Bi1 Bi 0.0000 0.0000 0.0000
Bi2 Bi 0.3333 0.6667 0.6667
Bi3 Bi 0.6667 0.3333 0.3333
Ru1 Ru 0.0000 0.0000 0.5000
Ru2 Ru 0.3333 0.6667 0.1667
Ru3 Ru 0.6667 0.3333 0.8333
```

Properties
Theoretical density   9.4 g cm⁻³
Formation energy   -0.249 eV/atom
Energy relative to the lowest polymorph listed for this composition   7.7 kJ per mole of atoms
Crystal system   trigonal
SG   No. 166
N(E_F)   0.977 states/eV per atom

=====

A relaxed structure of TlGaTe2O8. Source: Alexandria, functional PBE-GGA.

The structure in CIF format:
```
data_TlGaTe2O8
_chemical_formula_sum 'Tl1 Ga1 Te2 O8'
_space_group_name_H-M_alt 'P 1'
_space_group_IT_number 1
_space_group_name_Hall 'P 1'
_cell_length_a 4.8640
_cell_length_b 4.8640
_cell_length_c 6.6463
_cell_angle_alpha 90.00
_cell_angle_beta 90.00
_cell_angle_gamma 92.97
loop_
_atom_site_label
_atom_site_type_symbol
_atom_site_fract_x
_atom_site_fract_y
_atom_site_fract_z
Tl1 Tl 0.0000 0.0000 0.0000
Ga1 Ga 0.0000 0.0000 0.5000
Te1 Te 0.5000 0.5000 0.2600
Te2 Te 0.5000 0.5000 0.7400
O1 O 0.1966 0.1966 0.2767
O2 O 0.1966 0.1966 0.7233
O3 O 0.3112 0.6888 0.5000
O4 O 0.3263 0.6737 0.0000
O5 O 0.6737 0.3263 0.0000
O6 O 0.6888 0.3112 0.5000
O7 O 0.8034 0.8034 0.2767
O8 O 0.8034 0.8034 0.7233
```

Properties
Theoretical density   7.0 g cm⁻³
Final energy   -5.265 eV per atom
Crystal system   orthorhombic
SG   No. 65
N(E_F)   0.075 states/eV per atom

=====

A relaxed structure of LiCeThN3. Source: Alexandria, functional PBE-GGA.

The structure in CIF format:
```
data_LiCeThN3
_chemical_formula_sum 'Li2 Ce2 Th2 N6'
_space_group_name_H-M_alt 'P 1'
_space_group_IT_number 1
_space_group_name_Hall 'P 1'
_cell_length_a 6.3958
_cell_length_b 3.6154
_cell_length_c 8.8077
_cell_angle_alpha 90.00
_cell_angle_beta 100.89
_cell_angle_gamma 90.00
loop_
_atom_site_label
_atom_site_type_symbol
_atom_site_fract_x
_atom_site_fract_y
_atom_site_fract_z
Li1 Li 0.1454 0.2500 0.0537
Li2 Li 0.8546 0.7500 0.9463
Ce1 Ce 0.2209 0.7500 0.7332
Ce2 Ce 0.7791 0.2500 0.2668
Th1 Th 0.3156 0.7500 0.3410
Th2 Th 0.6844 0.2500 0.6590
N1 N 0.0400 0.2500 0.8220
N2 N 0.2944 0.2500 0.5468
N3 N 0.4304 0.2500 0.2099
N4 N 0.5696 0.7500 0.7901
N5 N 0.7056 0.7500 0.4532
N6 N 0.9600 0.7500 0.1780
```

Properties
Theoretical density   7.0 g cm⁻³
Final energy   -7.899 eV per atom
Crystal system   monoclinic
SG   No. 11

=====

A relaxed structure of YSnTeN2. Source: Alexandria, functional PBE-GGA.

The structure in CIF format:
```
data_YSnTeN2
_chemical_formula_sum 'Y1 Sn1 Te1 N2'
_space_group_name_H-M_alt 'P 1'
_space_group_IT_number 1
_space_group_name_Hall 'P 1'
_cell_length_a 4.4324
_cell_length_b 4.4324
_cell_length_c 6.2220
_cell_angle_alpha 90.00
_cell_angle_beta 90.00
_cell_angle_gamma 90.00
loop_
_atom_site_label
_atom_site_type_symbol
_atom_site_fract_x
_atom_site_fract_y
_atom_site_fract_z
Y1 Y 0.0000 0.0000 0.0000
Sn1 Sn 0.5000 0.5000 0.5000
Te1 Te 0.0000 0.0000 0.5000
N1 N 0.0000 0.5000 0.0000
N2 N 0.5000 0.0000 0.0000
```

Properties
Theoretical density   4.9 g cm⁻³
Energy relative to the lowest polymorph listed for this composition   6.8 kJ per mole of atoms
Crystal system   tetragonal
SG   No. 123
N(E_F)   1.102 states/eV per atom

=====

| no. | total magnetization (μB/f.u.) |
| --- | --- |
| 1 | 0.535 |
| 2 | 0.000 |
| 3 | 14.393 |
| 4 | 0.000 |
| 5 | 5.896 |
| 6 | 0.000 |
| 7 | 0.000 |
| 8 | 0.000 |
| 9 | 0.000 |
| 10 | 0.011 |